# Ca2TbCu | Alexandria via LeMat-Bulk | PBE-GGA | relaxed
# Total magnetization = 0.0005 μB per atom
# DOS at the Fermi energy = 1.36 states/eV/atom
# ΔE_f = 60 meV/atom
# Relative energy among the computed polymorphs = 0.0000 eV per atom
data_Ca2TbCu
_space_group_name_H-M_alt 'P 4/m m m'
_space_group_IT_number 123
_space_group_name_Hall '-P 4 2'
_cell_length_a 3.508
_cell_length_b 3.508
_cell_length_c 9.520
_cell_angle_alpha 90.00
_cell_angle_beta 90.00
_cell_angle_gamma 90.00
loop_
_atom_site_label
_atom_site_fract_x
_atom_site_fract_y
_atom_site_fract_z
Ca1 0.000 0.000 0.191
Tb1 0.500 0.500 0.500
Cu1 0.500 0.500 0.000